(1)
# PBE-GGA Th4TcSe5, relaxed
# Uncorrected formation energy = -1271 kJ/mol of formula units
data_Th4TcSe5
_chemical_formula_sum 'Th8 Tc2 Se10'
_space_group_name_H-M_alt 'C 1 2/m 1'
_space_group_IT_number 12
_cell_length_a 18.1539
_cell_length_b 4.2214
_cell_length_c 8.5431
_cell_angle_alpha 90.00
_cell_angle_beta 105.64
_cell_angle_gamma 90.00
loop_
_space_group_symop_operation_xyz
'x,y,z'
'-x,-y,-z'
'-x,y,-z'
'x,-y,z'
'x+1/2,y+1/2,z'
'-x+1/2,-y+1/2,-z'
'-x+1/2,y+1/2,-z'
'x+1/2,-y+1/2,z'
loop_
_atom_site_label
_atom_site_type_symbol
_atom_site_fract_x
_atom_site_fract_y
_atom_site_fract_z
_atom_site_occupancy
Th1 Th 0.0021 0.0000 0.2435 1
Th2 Th 0.1587 0.5000 0.0950 1
Tc1 Tc 0.0000 0.5000 0.0000 1
Se1 Se 0.0000 0.5000 0.5000 1
Se2 Se 0.1683 0.0000 0.3341 1
Se3 Se 0.1699 0.0000 0.8518 1

(2)
# PBE-GGA Ac5SmHg6, relaxed
# Calculated formation energy = -464 meV per atom
data_Ac5SmHg6
_chemical_formula_sum 'Ac10 Sm2 Hg12'
_space_group_name_H-M_alt 'C 1 2/m 1'
_space_group_IT_number 12
_cell_length_a 17.9035
_cell_length_b 8.0061
_cell_length_c 5.6596
_cell_angle_alpha 90.00
_cell_angle_beta 108.28
_cell_angle_gamma 90.00
loop_
_space_group_symop_operation_xyz
'x,y,z'
'-x,-y,-z'
'-x,y,-z'
'x,-y,z'
'x+1/2,y+1/2,z'
'-x+1/2,-y+1/2,-z'
'-x+1/2,y+1/2,-z'
'x+1/2,-y+1/2,z'
loop_
_atom_site_label
_atom_site_type_symbol
_atom_site_fract_x
_atom_site_fract_y
_atom_site_fract_z
_atom_site_occupancy
Ac1 Ac 0.0000 0.0000 0.0000 1
Ac2 Ac 0.1642 0.0000 0.6644 1
Ac3 Ac 0.1706 0.5000 0.6711 1
Sm1 Sm 0.0000 0.5000 0.0000 1
Hg1 Hg 0.0000 0.2705 0.5000 1
Hg2 Hg 0.1605 0.2605 0.1613 1

(3)
# PBE-GGA Sm5YIn6, relaxed
# Calculated formation energy = -493 meV per atom
data_Sm5YIn6
_chemical_formula_sum 'Sm10 Y2 In12'
_space_group_name_H-M_alt 'C 1 2/m 1'
_space_group_IT_number 12
_cell_length_a 9.3311
_cell_length_b 16.2263
_cell_length_c 5.4024
_cell_angle_alpha 90.00
_cell_angle_beta 125.27
_cell_angle_gamma 90.00
loop_
_space_group_symop_operation_xyz
'x,y,z'
'-x,-y,-z'
'-x,y,-z'
'x,-y,z'
'x+1/2,y+1/2,z'
'-x+1/2,-y+1/2,-z'
'-x+1/2,y+1/2,-z'
'x+1/2,-y+1/2,z'
loop_
_atom_site_label
_atom_site_type_symbol
_atom_site_fract_x
_atom_site_fract_y
_atom_site_fract_z
_atom_site_occupancy
Sm1 Sm 0.0000 0.0000 0.0000 1
Sm2 Sm 0.0000 0.1658 0.5000 1
Sm3 Sm 0.0000 0.3310 0.0000 1
Y1 Y 0.0000 0.5000 0.5000 1
In1 In 0.2438 0.5000 0.2441 1
In2 In 0.2468 0.3350 0.7469 1

(4)
# PBE-GGA Zn2TePt, relaxed
# Uncorrected formation energy = 34 kJ/mol of formula units
data_Zn2TePt
_chemical_formula_sum 'Zn8 Te4 Pt4'
_space_group_name_H-M_alt 'F -4 3 m'
_space_group_IT_number 216
_space_group_name_Hall 'F -4 2 3'
_cell_length_a 6.6596
_cell_length_b 6.6596
_cell_length_c 6.6596
_cell_angle_alpha 90.00
_cell_angle_beta 90.00
_cell_angle_gamma 90.00
loop_
_atom_site_label
_atom_site_type_symbol
_atom_site_fract_x
_atom_site_fract_y
_atom_site_fract_z
_atom_site_occupancy
Zn1 Zn 0.0000 0.0000 0.0000 1
Zn2 Zn 0.2500 0.2500 0.2500 1
Te1 Te 0.2500 0.2500 0.7500 1
Pt1 Pt 0.0000 0.0000 0.5000 1

(5)
# PBE-GGA K3CdOs2O8, relaxed
# Uncorrected formation energy = -1550 kJ/mol of formula units
data_K3CdOs2O8
_chemical_formula_sum 'K3 Cd1 Os2 O8'
_space_group_name_H-M_alt 'P -3 m 1'
_space_group_IT_number 164
_space_group_name_Hall '-P 3 2"'
_cell_length_a 6.0415
_cell_length_b 6.0415
_cell_length_c 7.9419
_cell_angle_alpha 90.00
_cell_angle_beta 90.00
_cell_angle_gamma 120.00
loop_
_atom_site_label
_atom_site_type_symbol
_atom_site_fract_x
_atom_site_fract_y
_atom_site_fract_z
_atom_site_occupancy
K1 K 0.0000 0.0000 0.0000 1
K2 K 0.3333 0.6667 0.6515 1
Cd1 Cd 0.0000 0.0000 0.5000 1
Os1 Os 0.3333 0.6667 0.2040 1
O1 O 0.1729 0.3459 0.3019 1
O2 O 0.3333 0.6667 0.9804 1

(6)
# PBE-GGA Ho4Tm3Sb4, relaxed
# Uncorrected formation energy = -759 kJ/mol of formula units
data_Ho4Tm3Sb4
_chemical_formula_sum 'Ho8 Tm6 Sb8'
_space_group_name_H-M_alt 'I m m m'
_space_group_IT_number 71
_space_group_name_Hall '-I 2 2'
_cell_length_a 3.9883
_cell_length_b 9.0931
_cell_length_c 17.1623
_cell_angle_alpha 90.00
_cell_angle_beta 90.00
_cell_angle_gamma 90.00
loop_
_atom_site_label
_atom_site_type_symbol
_atom_site_fract_x
_atom_site_fract_y
_atom_site_fract_z
_atom_site_occupancy
Ho1 Ho 0.0000 0.1825 0.1681 1
Tm1 Tm 0.0000 0.0000 0.4008 1
Tm2 Tm 0.0000 0.5000 0.5000 1
Sb1 Sb 0.0000 0.2944 0.0000 1
Sb2 Sb 0.0000 0.5000 0.2337 1

(7)
# PBE-GGA Sm2Dy7Ho4, relaxed
# Calculated formation energy = 181 meV per atom
data_Sm2Dy7Ho4
_chemical_formula_sum 'Sm2 Dy7 Ho4'
_space_group_name_H-M_alt 'P -3 1 m'
_space_group_IT_number 162
_space_group_name_Hall '-P 3 2'
_cell_length_a 6.0569
_cell_length_b 6.0569
_cell_length_c 13.2684
_cell_angle_alpha 90.00
_cell_angle_beta 90.00
_cell_angle_gamma 120.00
loop_
_atom_site_label
_atom_site_type_symbol
_atom_site_fract_x
_atom_site_fract_y
_atom_site_fract_z
_atom_site_occupancy
Sm1 Sm 0.3333 0.6667 0.0000 1
Dy1 Dy 0.0000 0.0000 0.0000 1
Dy2 Dy 0.0000 0.3555 0.2173 1
Ho1 Ho 0.0000 0.0000 0.3946 1
Ho2 Ho 0.3333 0.6667 0.5000 1

(8)
# PBE-GGA Al2ZnNi, relaxed
# Calculated formation energy = -208 meV per atom
data_Al2ZnNi
_chemical_formula_sum 'Al6 Zn3 Ni3'
_space_group_name_H-M_alt 'R 3 m'
_space_group_IT_number 160
_space_group_name_Hall 'R 3 -2"'
_cell_length_a 2.8232
_cell_length_b 2.8232
_cell_length_c 24.5942
_cell_angle_alpha 90.00
_cell_angle_beta 90.00
_cell_angle_gamma 120.00
loop_
_atom_site_label
_atom_site_type_symbol
_atom_site_fract_x
_atom_site_fract_y
_atom_site_fract_z
_atom_site_occupancy
Al1 Al 0.0000 0.0000 0.0000 1
Al2 Al 0.0000 0.0000 0.1820 1
Zn1 Zn 0.0000 0.0000 0.7576 1
Ni1 Ni 0.0000 0.0000 0.5916 1

(9)
# PBE-GGA MgAgRu, relaxed
# Calculated formation energy = 221 meV per atom
# Offset from the most stable computed form = 140 meV per atom
data_MgAgRu
_chemical_formula_sum 'Mg1 Ag1 Ru1'
_space_group_name_H-M_alt 'P 3 m 1'
_space_group_IT_number 156
_cell_length_a 2.8566
_cell_length_b 2.8566
_cell_length_c 6.9549
_cell_angle_alpha 90.00
_cell_angle_beta 90.00
_cell_angle_gamma 120.00
loop_
_space_group_symop_operation_xyz
'x,y,z'
'-y,x-y,z'
'-x+y,-x,z'
'-y,-x,z'
'-x+y,y,z'
'x,x-y,z'
loop_
_atom_site_label
_atom_site_type_symbol
_atom_site_fract_x
_atom_site_fract_y
_atom_site_fract_z
_atom_site_occupancy
Mg1 Mg 0.0000 0.0000 0.0000 1
Ag1 Ag 0.3333 0.6667 0.6559 1
Ru1 Ru 0.6667 0.3333 0.3136 1

(10)
# PBE-GGA YCrOs2, relaxed
# Calculated formation energy = 495 meV per atom
# Offset from the most stable computed form = 352 meV per atom
data_YCrOs2
_chemical_formula_sum 'Y2 Cr2 Os4'
_space_group_name_H-M_alt 'I -4 m 2'
_space_group_IT_number 119
_space_group_name_Hall 'I -4 -2'
_cell_length_a 4.0463
_cell_length_b 4.0463
_cell_length_c 8.2778
_cell_angle_alpha 90.00
_cell_angle_beta 90.00
_cell_angle_gamma 90.00
loop_
_atom_site_label
_atom_site_type_symbol
_atom_site_fract_x
_atom_site_fract_y
_atom_site_fract_z
_atom_site_occupancy
Y1 Y 0.0000 0.0000 0.0000 1
Cr1 Cr 0.0000 0.5000 0.7500 1
Os1 Os 0.0000 0.0000 0.5000 1
Os2 Os 0.0000 0.5000 0.2500 1

(11)
# PBE-GGA TbPm4YS8, relaxed
# Uncorrected formation energy = -2599 kJ/mol of formula units
data_TbPm4YS8
_chemical_formula_sum 'Tb3 Pm12 Y3 S24'
_space_group_name_H-M_alt 'R 3 m'
_space_group_IT_number 160
_space_group_name_Hall 'R 3 -2"'
_cell_length_a 8.2261
_cell_length_b 8.2261
_cell_length_c 20.0662
_cell_angle_alpha 90.00
_cell_angle_beta 90.00
_cell_angle_gamma 120.00
loop_
_atom_site_label
_atom_site_type_symbol
_atom_site_fract_x
_atom_site_fract_y
_atom_site_fract_z
_atom_site_occupancy
Tb1 Tb 0.0000 0.0000 0.0000 1
Pm1 Pm 0.0000 0.0000 0.2486 1
Pm2 Pm 0.1676 0.3352 0.4575 1
Y1 Y 0.0000 0.0000 0.6249 1
S1 S 0.0000 0.0000 0.3816 1
S2 S 0.0000 0.0000 0.8698 1
S3 S 0.0189 0.5094 0.3738 1
S4 S 0.1798 0.3596 0.2072 1

(12)
# PBE-GGA YScGe2, relaxed
# Calculated formation energy = -550 meV per atom
# Offset from the most stable computed form = 285 meV per atom
data_YScGe2
_chemical_formula_sum 'Y4 Sc4 Ge8'
_space_group_name_H-M_alt 'F m -3 m'
_space_group_IT_number 225
_space_group_name_Hall '-F 4 2 3'
_cell_length_a 6.9965
_cell_length_b 6.9965
_cell_length_c 6.9965
_cell_angle_alpha 90.00
_cell_angle_beta 90.00
_cell_angle_gamma 90.00
loop_
_atom_site_label
_atom_site_type_symbol
_atom_site_fract_x
_atom_site_fract_y
_atom_site_fract_z
_atom_site_occupancy
Y1 Y 0.0000 0.0000 0.0000 1
Sc1 Sc 0.0000 0.0000 0.5000 1
Ge1 Ge 0.2500 0.2500 0.2500 1

(13)
# PBE-GGA In2ReAs, relaxed
# Calculated formation energy = 561 meV per atom
data_In2ReAs
_chemical_formula_sum 'In6 Re3 As3'
_space_group_name_H-M_alt 'R -3 m'
_space_group_IT_number 166
_space_group_name_Hall '-R 3 2"'
_cell_length_a 3.0625
_cell_length_b 3.0625
_cell_length_c 29.1375
_cell_angle_alpha 90.00
_cell_angle_beta 90.00
_cell_angle_gamma 120.00
loop_
_atom_site_label
_atom_site_type_symbol
_atom_site_fract_x
_atom_site_fract_y
_atom_site_fract_z
_atom_site_occupancy
In1 In 0.0000 0.0000 0.2441 1
Re1 Re 0.0000 0.0000 0.5000 1
As1 As 0.0000 0.0000 0.0000 1

(14)
# PBE-GGA Pa2Zn12Ag5, relaxed
# Calculated formation energy = -45 meV per atom
data_Pa2Zn12Ag5
_chemical_formula_sum 'Pa6 Zn36 Ag15'
_space_group_name_H-M_alt 'R -3 m'
_space_group_IT_number 166
_space_group_name_Hall '-R 3 2"'
_cell_length_a 9.1945
_cell_length_b 9.1945
_cell_length_c 13.3954
_cell_angle_alpha 90.00
_cell_angle_beta 90.00
_cell_angle_gamma 120.00
loop_
_atom_site_label
_atom_site_type_symbol
_atom_site_fract_x
_atom_site_fract_y
_atom_site_fract_z
_atom_site_occupancy
Pa1 Pa 0.0000 0.0000 0.1508 1
Zn1 Zn 0.0000 0.3036 0.5000 1
Zn2 Zn 0.0141 0.5070 0.6540 1
Ag1 Ag 0.0000 0.0000 0.3944 1
Ag2 Ag 0.0000 0.5000 0.0000 1

(15)
# PBE-GGA HoH2Cl4, relaxed
# Calculated total energy = -3.80 eV per atom
data_HoH2Cl4
_chemical_formula_sum 'Ho1 H2 Cl4'
_space_group_name_H-M_alt 'P 1'
_space_group_IT_number 1
_cell_length_a 3.9084
_cell_length_b 6.4163
_cell_length_c 7.2639
_cell_angle_alpha 90.66
_cell_angle_beta 98.13
_cell_angle_gamma 105.18
loop_
_space_group_symop_operation_xyz
'x,y,z'
loop_
_atom_site_label
_atom_site_type_symbol
_atom_site_fract_x
_atom_site_fract_y
_atom_site_fract_z
_atom_site_occupancy
Ho1 Ho 0.0000 0.0000 0.0000 1
H1 H 0.3800 0.1774 0.2383 1
H2 H 0.6881 0.5337 0.7064 1
Cl1 Cl 0.3913 0.7190 0.0614 1
Cl2 Cl 0.5254 0.1911 0.8035 1
Cl3 Cl 0.7885 0.7242 0.6377 1
Cl4 Cl 0.8725 0.2031 0.2719 1

(16)
# PBE-GGA PSO, relaxed
# Uncorrected formation energy = -182 kJ/mol of formula units
# Offset from the most stable computed form = 258 meV per atom
data_PSO
_chemical_formula_sum 'P1 S1 O1'
_space_group_name_H-M_alt 'P 1'
_space_group_IT_number 1
_cell_length_a 3.2981
_cell_length_b 3.4353
_cell_length_c 4.9465
_cell_angle_alpha 85.51
_cell_angle_beta 86.39
_cell_angle_gamma 77.77
loop_
_space_group_symop_operation_xyz
'x,y,z'
loop_
_atom_site_label
_atom_site_type_symbol
_atom_site_fract_x
_atom_site_fract_y
_atom_site_fract_z
_atom_site_occupancy
P1 P 0.0000 0.0000 0.0000 1
S1 S 0.4201 0.3989 0.8212 1
O1 O 0.9802 0.9589 0.3008 1

(17)
# PBE-GGA Tb2PrThSc, relaxed
# Calculated formation energy = 61 meV per atom
data_Tb2PrThSc
_chemical_formula_sum 'Tb4 Pr2 Th2 Sc2'
_space_group_name_H-M_alt 'P 1 21/m 1'
_space_group_IT_number 11
_cell_length_a 7.8582
_cell_length_b 5.0340
_cell_length_c 7.9172
_cell_angle_alpha 90.00
_cell_angle_beta 90.43
_cell_angle_gamma 90.00
loop_
_space_group_symop_operation_xyz
'x,y,z'
'-x,-y,-z'
'-x,y+1/2,-z'
'x,-y+1/2,z'
loop_
_atom_site_label
_atom_site_type_symbol
_atom_site_fract_x
_atom_site_fract_y
_atom_site_fract_z
_atom_site_occupancy
Tb1 Tb 0.1538 0.2500 0.4515 1
Tb2 Tb 0.3412 0.2500 0.0539 1
Pr1 Pr 0.2509 0.7500 0.7550 1
Th1 Th 0.4450 0.7500 0.3508 1
Sc1 Sc 0.0515 0.7500 0.1508 1

(18)
# PBE-GGA PrNd2Zn, relaxed
# Calculated formation energy = -151 meV per atom
# Offset from the most stable computed form = 0 meV per atom
data_PrNd2Zn
_chemical_formula_sum 'Pr1 Nd2 Zn1'
_space_group_name_H-M_alt 'P 4/m m m'
_space_group_IT_number 123
_space_group_name_Hall '-P 4 2'
_cell_length_a 3.6998
_cell_length_b 3.6998
_cell_length_c 8.8900
_cell_angle_alpha 90.00
_cell_angle_beta 90.00
_cell_angle_gamma 90.00
loop_
_atom_site_label
_atom_site_type_symbol
_atom_site_fract_x
_atom_site_fract_y
_atom_site_fract_z
_atom_site_occupancy
Pr1 Pr 0.0000 0.0000 0.0000 1
Nd1 Nd 0.5000 0.5000 0.2947 1
Zn1 Zn 0.0000 0.0000 0.5000 1

(19)
# PBE-GGA ZnMo2Se, relaxed
# Uncorrected formation energy = 39 kJ/mol of formula units
# Offset from the most stable computed form = 0 meV per atom
data_ZnMo2Se
_chemical_formula_sum 'Zn1 Mo2 Se1'
_space_group_name_H-M_alt 'P 4 m m'
_space_group_IT_number 99
_cell_length_a 3.2193
_cell_length_b 3.2193
_cell_length_c 6.3494
_cell_angle_alpha 90.00
_cell_angle_beta 90.00
_cell_angle_gamma 90.00
loop_
_space_group_symop_operation_xyz
'x,y,z'
'-y,x,z'
'-x,-y,z'
'y,-x,z'
'-x,y,z'
'y,x,z'
'x,-y,z'
'-y,-x,z'
loop_
_atom_site_label
_atom_site_type_symbol
_atom_site_fract_x
_atom_site_fract_y
_atom_site_fract_z
_atom_site_occupancy
Zn1 Zn 0.0000 0.0000 0.0000 1
Mo1 Mo 0.0000 0.0000 0.4734 1
Mo2 Mo 0.5000 0.5000 0.2317 1
Se1 Se 0.5000 0.5000 0.6856 1

(20)
# PBE-GGA YReB3, relaxed
# Calculated formation energy = -362 meV per atom
# Offset from the most stable computed form = 0 meV per atom
data_YReB3
_chemical_formula_sum 'Y4 Re4 B12'
_space_group_name_H-M_alt 'C m c m'
_space_group_IT_number 63
_space_group_name_Hall '-C 2c 2'
_cell_length_a 3.6883
_cell_length_b 19.3980
_cell_length_c 3.1049
_cell_angle_alpha 90.00
_cell_angle_beta 90.00
_cell_angle_gamma 90.00
loop_
_atom_site_label
_atom_site_type_symbol
_atom_site_fract_x
_atom_site_fract_y
_atom_site_fract_z
_atom_site_occupancy
Y1 Y 0.0000 0.0762 0.2500 1
Re1 Re 0.0000 0.2085 0.7500 1
B1 B 0.0000 0.3225 0.7500 1
B2 B 0.0000 0.3702 0.2500 1
B3 B 0.0000 0.4775 0.2500 1

DOS at the Fermi energy, record by record: 7.454, 26.640, 10.979, 8.562, 4.624, 22.246, 17.502, 5.864, 2.617, 10.608, 25.293, 19.466, 12.237, 37.651, 1.110, 0.528, 15.079, 4.350, 2.127, 13.601 states/eV/cell
Spin magnetization, record by record: 0.0, 3.1, 0.0, 0.0, 3.5, 0.0, 0.0, 0.0, 0.6, 4.8, 0.0, 0.0, 0.0, 2.2, 0.1, 0.0, 0.0, 0.0, 0.0, 0.0 Bohr magnetons per cell